DFT (GGA-PBE) results for RbZn3Br after structural relaxation.

Unit cell a=6.268 b=6.268 c=6.268 alpha=90.00 beta=90.00 gamma=90.00
Sites, in units of the cell vectors:
Br1 0.000 0.000 0.000
Zn1 0.500 0.000 0.000
Zn2 0.000 0.500 0.000
Zn3 0.000 0.000 0.500
Rb1 0.500 0.500 0.500

Calculated values
For the density of states at the Fermi level, the calculation gives 0.0 states/eV per cell. The value obtained for the uncorrected formation energy is 23.3 kJ per mole of atoms. As for the space group: Pm-3m, No. 221. As for the magnetic moment: 0.000 μB per atom.



DFT (GGA-PBE) results for Rb2ZnBr after structural relaxation.

Unit cell a=6.197 b=6.197 c=6.197 alpha=60.00 beta=60.00 gamma=60.00
Sites, in units of the cell vectors:
Rb1 0.750 0.750 0.750
Rb2 0.250 0.250 0.250
Br1 0.500 0.500 0.500
Zn1 0.000 0.000 0.000

Calculated values
For the density of states at the Fermi level, the calculation gives 3.7 states/eV per cell. The value obtained for the uncorrected formation energy is -54.2 kJ per mole of atoms. As for the space group: Fm-3m, No. 225. As for the magnetic moment: 0.000 μB per atom.



DFT (GGA-PBE) results for RbZnBr3 after structural relaxation.

Unit cell a=5.563 b=8.219 c=8.227 alpha=76.74 beta=88.82 gamma=88.79
Sites, in units of the cell vectors:
Zn1 0.743 0.619 0.725
Zn2 0.742 0.285 0.058
Br1 0.977 0.038 0.059
Br2 0.977 0.621 0.477
Br3 0.508 0.867 0.723
Br4 0.970 0.553 0.992
Br5 0.507 0.283 0.305
Br6 0.515 0.351 0.790
Rb1 0.491 0.752 0.191
Rb2 0.994 0.152 0.591

Calculated values
For the density of states at the Fermi level, the calculation gives 0.0 states/eV per cell. The value obtained for the uncorrected formation energy is -121.0 kJ per mole of atoms. As for the space group: P-1, No. 2. As for the magnetic moment: 0.000 μB per atom.



DFT (GGA-PBE) results for Rb3ZnBr after structural relaxation.

Unit cell a=6.732 b=6.732 c=6.732 alpha=90.00 beta=90.00 gamma=90.00
Sites, in units of the cell vectors:
Rb1 0.000 0.500 0.000
Rb2 0.500 0.000 0.000
Rb3 0.000 0.000 0.500
Br1 0.000 0.000 0.000
Zn1 0.500 0.500 0.500

Calculated values
For the density of states at the Fermi level, the calculation gives 2.8 states/eV per cell. The value obtained for the uncorrected formation energy is -45.6 kJ per mole of atoms. As for the space group: Pm-3m, No. 221. As for the magnetic moment: 0.000 μB per atom.